# 1
RbFe3Tc: relaxed, GGA-PBEsol.

Lattice parameters (Å, degrees): 4.646 4.646 4.646 90.00 90.00 90.00
Sites, in units of the cell vectors:
1 Fe 0.000 0.500 0.000
2 Rb 0.500 0.500 0.500
3 Fe 0.500 0.000 0.000
4 Tc 0.000 0.000 0.000
5 Fe 0.000 0.000 0.500

Computed properties:
calculated formation energy: 1.530 eV/atom
magnetization: 7.33 Bohr magnetons per cell
space-group type: No. 221

=====

# 2
TiWSN2: relaxed, GGA-PBEsol.

Lattice parameters (Å, degrees): 3.811 3.811 4.619 90.00 90.00 90.00
Sites, in units of the cell vectors:
1 S 0.000 0.000 0.500
2 N 0.000 0.500 0.000
3 W 0.500 0.500 0.500
4 Ti 0.000 0.000 0.000
5 N 0.500 0.000 0.000

Computed properties:
magnetization: 1.95 Bohr magnetons per cell
space-group type: No. 123
formation energy (no corrections): 69 kJ per mole of atoms

=====

# 3
Y2AlPdI: relaxed, GGA-PBEsol.

Lattice parameters (Å, degrees): 4.833 5.531 5.531 90.00 90.00 90.00
Sites, in units of the cell vectors:
1 Pd 0.500 0.000 0.000
2 Y 0.000 0.500 0.000
3 Y 0.000 0.000 0.500
4 Al 0.500 0.500 0.500
5 I 0.000 0.000 0.000

Computed properties:
magnetization: 0.00 Bohr magnetons per cell
space-group type: No. 123
formation energy (no corrections): 24 kJ per mole of atoms

=====

# 4
KNa2Ge2: relaxed, GGA-PBEsol.

Lattice parameters (Å, degrees): 5.104 5.104 6.632 112.63 112.63 90.00
Sites, in units of the cell vectors:
1 Na 0.750 0.250 0.500
2 Ge 0.397 0.397 0.795
3 Na 0.250 0.750 0.500
4 Ge 0.603 0.603 0.205
5 K 0.000 0.000 0.000

Computed properties:
calculated formation energy: -0.045 eV/atom
magnetization: 0.00 Bohr magnetons per cell
space-group type: No. 139

=====

# 5
Mn2P3O10: relaxed, GGA-PBEsol.

Lattice parameters (Å, degrees): 8.446 8.446 9.544 79.46 130.82 117.90
Sites, in units of the cell vectors:
1 P 0.708 0.581 0.806
2 Mn 0.759 0.233 0.978
3 O 0.655 0.161 0.124
4 O 0.345 0.839 0.876
5 O 0.537 0.531 0.376
6 O 0.591 0.883 0.276
7 O 0.463 0.469 0.624
8 P 0.275 0.901 0.694
9 Mn 0.755 0.781 0.522
10 O 0.208 0.934 0.111
11 O 0.107 0.314 0.224
12 O 0.409 0.117 0.724
13 O 0.804 0.486 0.972
14 P 0.355 0.105 0.250
15 O 0.986 0.168 0.472
16 P 0.292 0.419 0.194
17 O 0.695 0.738 0.868
18 O 0.893 0.686 0.776
19 O 0.792 0.066 0.889
20 O 0.196 0.514 0.028
21 P 0.725 0.099 0.306
22 Mn 0.245 0.219 0.478
23 O 0.014 0.832 0.528
24 O 0.677 0.903 0.611
25 O 0.370 0.827 0.632
26 O 0.305 0.262 0.132
27 Mn 0.241 0.767 0.022
28 P 0.645 0.895 0.750
29 O 0.323 0.097 0.389
30 O 0.630 0.173 0.368

Computed properties:
magnetization: 18.00 Bohr magnetons per cell
space-group type: No. 15
formation energy (no corrections): -190 kJ per mole of atoms

=====

# 6
FeAuSe2N: relaxed, GGA-PBEsol.

Lattice parameters (Å, degrees): 3.326 4.857 4.857 90.00 90.00 90.00
Sites, in units of the cell vectors:
1 N 0.500 0.000 0.000
2 Au 0.500 0.500 0.500
3 Fe 0.000 0.000 0.000
4 Se 0.000 0.500 0.000
5 Se 0.000 0.000 0.500

Computed properties:
magnetization: 0.00 Bohr magnetons per cell
space-group type: No. 123
formation energy (no corrections): 31 kJ per mole of atoms

=====

# 7
ZnFeP2: relaxed, GGA-PBEsol.

Lattice parameters (Å, degrees): 4.115 4.115 4.115 60.00 60.00 60.00
Sites, in units of the cell vectors:
1 Fe 0.500 0.500 0.500
2 P 0.000 0.000 0.000
3 P 0.750 0.750 0.750
4 Zn 0.250 0.250 0.250

Computed properties:
calculated formation energy: 0.455 eV/atom
magnetization: 0.00 Bohr magnetons per cell
space-group type: No. 216

=====

# 8
Cd2AgPb: relaxed, GGA-PBEsol.

Lattice parameters (Å, degrees): 3.098 4.001 7.107 90.00 90.00 90.00
Sites, in units of the cell vectors:
1 Cd 0.500 0.500 0.219
2 Ag 0.500 0.500 0.783
3 Pb 0.000 0.000 0.516
4 Cd 0.000 0.000 0.983

Computed properties:
calculated formation energy: 0.061 eV/atom
magnetization: 0.00 Bohr magnetons per cell
space-group type: No. 25

=====

# 9
CuHS2N: relaxed, GGA-PBEsol.

Lattice parameters (Å, degrees): 2.630 4.402 4.402 90.00 90.00 90.00
Sites, in units of the cell vectors:
1 N 0.000 0.000 0.000
2 H 0.500 0.000 0.000
3 Cu 0.500 0.500 0.500
4 S 0.000 0.500 0.000
5 S 0.000 0.000 0.500

Computed properties:
magnetization: 0.00 Bohr magnetons per cell
space-group type: No. 123
energy: -4.429 eV per atom

=====

# 10
MgBeSi2: relaxed, GGA-PBEsol.

Lattice parameters (Å, degrees): 2.948 3.332 5.888 90.00 90.00 90.00
Sites, in units of the cell vectors:
1 Si 0.000 0.000 0.045
2 Mg 0.500 0.500 0.742
3 Si 0.500 0.500 0.274
4 Be 0.000 0.000 0.439

Computed properties:
magnetization: 0.00 Bohr magnetons per cell
space-group type: No. 25
formation energy (no corrections): 25 kJ per mole of atoms
excess energy over the best structure of this formula in the dataset: 0.000 eV per atom

=====

# 11
CrSbPb3: relaxed, GGA-PBEsol.

Lattice parameters (Å, degrees): 5.748 5.748 5.748 90.00 90.00 90.00
Sites, in units of the cell vectors:
1 Sb 0.000 0.000 0.000
2 Pb 0.000 0.000 0.500
3 Cr 0.500 0.500 0.500
4 Pb 0.000 0.500 0.000
5 Pb 0.500 0.000 0.000

Computed properties:
magnetization: 4.85 Bohr magnetons per cell
space-group type: No. 221
formation energy (no corrections): 113 kJ per mole of atoms

=====

# 12
MgAlZn2: relaxed, GGA-PBEsol.

Lattice parameters (Å, degrees): 3.996 3.996 4.979 113.66 113.66 90.00
Sites, in units of the cell vectors:
1 Al 0.500 0.500 0.000
2 Mg 0.250 0.750 0.500
3 Zn 0.000 0.000 0.000
4 Zn 0.750 0.250 0.500

Computed properties:
calculated formation energy: 0.002 eV/atom
magnetization: 0.00 Bohr magnetons per cell
space-group type: No. 119

=====

# 13
Sb2MoSe: relaxed, GGA-PBEsol.

Lattice parameters (Å, degrees): 3.202 3.202 8.170 90.00 90.00 90.00
Sites, in units of the cell vectors:
1 Mo 0.500 0.500 0.722
2 Sb 0.500 0.500 0.268
3 Sb 0.000 0.000 0.945
4 Se 0.000 0.000 0.565

Computed properties:
magnetization: 0.00 Bohr magnetons per cell
space-group type: No. 99
formation energy (no corrections): -1 kJ per mole of atoms

=====

# 14
CuH2O2: relaxed, GGA-PBEsol.

Lattice parameters (Å, degrees): 2.912 5.270 5.442 90.00 90.00 106.04
Sites, in units of the cell vectors:
1 Cu 0.833 0.667 0.261
2 O 0.536 0.072 0.728
3 H 0.511 0.022 0.551
4 H 0.489 0.978 0.051
5 O 0.219 0.438 0.370
6 H 0.868 0.735 0.787
7 Cu 0.167 0.333 0.761
8 H 0.132 0.265 0.287
9 O 0.464 0.928 0.228
10 O 0.781 0.562 0.870

Computed properties:
magnetization: 2.02 Bohr magnetons per cell
space-group type: No. 36
energy: -5.060 eV per atom

=====

# 15
YMo: relaxed, GGA-PBEsol.

Lattice parameters (Å, degrees): 3.249 3.249 8.314 90.00 90.00 90.00
Sites, in units of the cell vectors:
1 Mo 0.500 0.000 0.078
2 Y 0.500 0.000 0.682
3 Y 0.000 0.500 0.318
4 Mo 0.000 0.500 0.922

Computed properties:
calculated formation energy: 0.153 eV/atom
magnetization: 0.00 Bohr magnetons per cell
space-group type: No. 129
excess energy over the best structure of this formula in the dataset: 0.000 eV per atom

=====

# 16
KZnHg2: relaxed, GGA-PBEsol.

Lattice parameters (Å, degrees): 3.646 3.851 7.484 90.00 90.00 90.00
Sites, in units of the cell vectors:
1 K 0.000 0.000 0.505
2 Zn 0.500 0.500 0.827
3 Hg 0.000 0.000 0.961
4 Hg 0.500 0.500 0.207

Computed properties:
calculated formation energy: -0.034 eV/atom
magnetization: 0.00 Bohr magnetons per cell
space-group type: No. 25

=====

# 17
ZrReTe2: relaxed, GGA-PBEsol.

Lattice parameters (Å, degrees): 3.401 4.765 4.765 90.00 90.00 90.00
Sites, in units of the cell vectors:
1 Re 0.500 0.000 0.000
2 Te 0.000 0.500 0.000
3 Te 0.000 0.000 0.500
4 Zr 0.500 0.500 0.500

Computed properties:
magnetization: 0.00 Bohr magnetons per cell
space-group type: No. 123
formation energy (no corrections): -6 kJ per mole of atoms

=====

# 18
VF5: relaxed, GGA-PBEsol.

Lattice parameters (Å, degrees): 5.744 5.744 11.207 90.00 90.00 98.18
Sites, in units of the cell vectors:
1 F 0.125 0.437 0.639
2 F 0.714 0.714 0.551
3 V 0.330 0.330 0.084
4 V 0.670 0.670 0.916
5 F 0.937 0.625 0.861
6 F 0.012 0.012 0.698
7 F 0.625 0.937 0.861
8 F 0.786 0.786 0.051
9 F 0.512 0.512 0.802
10 F 0.437 0.125 0.639
11 V 0.170 0.170 0.584
12 F 0.364 0.636 0.000
13 F 0.286 0.286 0.449
14 F 0.636 0.364 0.000
15 F 0.063 0.375 0.139
16 F 0.375 0.063 0.139
17 V 0.830 0.830 0.416
18 F 0.136 0.864 0.500
19 F 0.864 0.136 0.500
20 F 0.875 0.563 0.361
21 F 0.563 0.875 0.361
22 F 0.988 0.988 0.302
23 F 0.214 0.214 0.949
24 F 0.488 0.488 0.198

Computed properties:
magnetization: 0.02 Bohr magnetons per cell
space-group type: No. 64
formation energy (no corrections): -262 kJ per mole of atoms

=====

# 19
Ba5As3SO12: relaxed, GGA-PBEsol.

Lattice parameters (Å, degrees): 7.725 10.612 10.612 120.00 90.00 90.00
Sites, in units of the cell vectors:
1 As 0.250 0.964 0.371
2 O 0.250 0.594 0.124
3 Ba 0.502 0.667 0.333
4 Ba 0.250 0.010 0.754
5 O 0.250 0.530 0.406
6 As 0.250 0.407 0.036
7 O 0.750 0.669 0.149
8 Ba 0.250 0.744 0.990
9 Ba 0.750 0.990 0.246
10 O 0.429 0.358 0.097
11 O 0.750 0.481 0.331
12 O 0.750 0.124 0.530
13 As 0.250 0.629 0.593
14 S 0.000 0.000 0.000
15 As 0.750 0.371 0.407
16 O 0.250 0.149 0.481
17 S 0.500 0.000 0.000
18 Ba 0.250 0.246 0.256
19 O 0.750 0.406 0.876
20 O 0.250 0.876 0.470
21 O 0.750 0.470 0.594
22 O 0.750 0.851 0.519
23 Ba 0.750 0.256 0.010
24 Ba 0.998 0.667 0.333
25 Ba 0.750 0.754 0.744
26 O 0.929 0.097 0.740
27 O 0.429 0.903 0.260
28 O 0.429 0.740 0.642
29 O 0.250 0.519 0.669
30 O 0.929 0.260 0.358
31 O 0.571 0.097 0.740
32 Ba 0.498 0.333 0.667
33 O 0.929 0.642 0.903
34 O 0.250 0.331 0.851
35 O 0.071 0.358 0.097
36 O 0.571 0.260 0.358
37 O 0.571 0.642 0.903
38 O 0.071 0.903 0.260
39 O 0.071 0.740 0.642
40 Ba 0.002 0.333 0.667
41 As 0.750 0.036 0.629
42 As 0.750 0.593 0.964

Computed properties:
magnetization: 2.03 Bohr magnetons per cell
space-group type: No. 176
formation energy (no corrections): -209 kJ per mole of atoms

=====

# 20
Ca2AlHg: relaxed, GGA-PBEsol.

Lattice parameters (Å, degrees): 3.677 3.677 7.509 90.00 90.00 90.00
Sites, in units of the cell vectors:
1 Hg 0.500 0.500 0.000
2 Al 0.500 0.500 0.500
3 Ca 0.000 0.000 0.248
4 Ca 0.000 0.000 0.752

Computed properties:
calculated formation energy: -0.405 eV/atom
magnetization: 0.00 Bohr magnetons per cell
space-group type: No. 123
excess energy over the best structure of this formula in the dataset: 0.000 eV per atom